one | Compound: YGeCl2
Source: Alexandria via LeMat-Bulk
Functional: PBE-GGA
Structure: optimized geometry Values from VASP.

Space group: No. 122
Magnetic moment in μB per formula unit: 0.0

```
&SYSTEM
  ibrav = 0, nat = 8, ntyp = 3
/
ATOMIC_SPECIES
Y 88.91 Y.upf
Ge 72.64 Ge.upf
Cl 35.45 Cl.upf
ATOMIC_POSITIONS angstrom
Y 4.540 2.270 4.686
Y 0.000 0.000 0.000
Ge 2.270 2.270 0.000
Ge 2.270 4.540 4.686
Cl 1.082 3.405 2.343
Cl 3.405 3.352 7.029
Cl 5.675 5.728 7.029
Cl 3.458 1.135 2.343
CELL_PARAMETERS angstrom
4.540 0.000 0.000
0.000 4.540 0.000
2.270 2.270 9.372
```



two | Compound: YGeCl2
Source: Alexandria via LeMat-Bulk
Functional: PBE-GGA
Structure: optimized geometry Values from VASP.

Space group: No. 225
Magnetic moment in μB per formula unit: 0.0

```
&SYSTEM
  ibrav = 0, nat = 4, ntyp = 3
/
ATOMIC_SPECIES
Ge 72.64 Ge.upf
Y 88.91 Y.upf
Cl 35.45 Cl.upf
ATOMIC_POSITIONS angstrom
Ge 0.000 0.000 0.000
Y 0.497 -4.794 3.651
Cl 0.249 -2.397 1.826
Cl 0.746 -7.191 5.477
CELL_PARAMETERS angstrom
2.784 -3.907 1.167
0.348 -1.468 4.701
-2.136 -4.213 1.435
```



Going by the energies, one is most stable and the next is 238 meV/atom up.